Compound: LiLaInP
Source: the Alexandria database
Functional: PBE
Structure: optimized geometry

Structure (extended XYZ):
```
4
Lattice="4.799 -2.051 0.000 4.799 2.051 0.000 -1.254 0.000 4.997" Properties=species:S:1:pos:R:3 pbc="T T T"
Li 0.000 0.000 0.000
La 5.802 0.000 2.907
In 2.704 0.000 0.821
P 3.014 0.000 3.647
```

As for the energy relative to the elements: -634 meV per atom. The space-group type is Cm (8). The energy above the lowest structure with this stoichiometry is 0.1121 eV per atom.

Compound: LiLaIn2P
Source: the Alexandria database
Functional: PBE
Structure: optimized geometry

Structure (extended XYZ):
```
5
Lattice="5.248 0.000 0.000 0.000 5.248 0.000 0.000 0.000 5.514" Properties=species:S:1:pos:R:3 pbc="T T T"
Li 0.000 0.000 0.000
La 2.624 2.624 0.000
In 0.000 2.624 2.757
In 2.624 0.000 2.757
P 2.624 2.624 2.757
```

As for the energy relative to the elements: -70 meV per atom. The space-group type is P4/mmm (123).

Compound: LiLaInP
Source: the Alexandria database
Functional: PBE
Structure: optimized geometry

Structure (extended XYZ):
```
4
Lattice="-2.067 2.067 6.057 2.067 -2.067 6.057 2.067 2.067 -6.057" Properties=species:S:1:pos:R:3 pbc="T T T"
Li 0.000 0.000 0.000
La 0.000 0.000 8.555
In 0.000 0.000 5.031
P 0.000 0.000 2.405
```

As for the energy relative to the elements: -746 meV per atom. The space-group type is I4mm (107). The energy above the lowest structure with this stoichiometry is 0.0000 eV per atom.

Compound: LiLaInP
Source: the Alexandria database
Functional: PBE
Structure: optimized geometry

Structure (extended XYZ):
```
4
Lattice="3.973 0.000 0.000 0.000 4.004 0.000 -0.014 0.000 5.894" Properties=species:S:1:pos:R:3 pbc="T T T"
Li 0.000 0.000 0.000
La 1.971 0.000 3.254
In 1.987 2.002 0.459
P 3.957 2.002 4.302
```

As for the energy relative to the elements: -737 meV per atom. The space-group type is Pm (6). The energy above the lowest structure with this stoichiometry is 0.0083 eV per atom.

Compound: LiLa2InPd6
Source: the Alexandria database
Functional: PBE
Structure: optimized geometry

Structure (extended XYZ):
```
10
Lattice="2.875 1.660 7.862 -2.875 1.660 7.862 0.000 -3.320 7.862" Properties=species:S:1:pos:R:3 pbc="T T T"
Li 0.000 0.000 0.000
La 0.000 0.000 6.730
La 0.000 0.000 16.856
In 0.000 0.000 11.793
Pd 0.000 -1.663 9.656
Pd -1.440 0.831 9.656
Pd -1.440 -0.831 13.930
Pd 1.440 0.831 9.656
Pd 1.440 -0.831 13.930
Pd 0.000 1.663 13.930
```

As for the energy relative to the elements: -543 meV per atom. The space-group type is R-3m (166).

Compound: Li2La2InPd5
Source: the Alexandria database
Functional: PBE
Structure: optimized geometry

Structure (extended XYZ):
```
20
Lattice="9.801 0.000 0.000 0.000 9.801 0.000 0.000 0.000 3.833" Properties=species:S:1:pos:R:3 pbc="T T T"
Li 1.167 3.733 0.000
Li 3.733 8.633 0.000
Li 6.067 1.167 0.000
Li 8.633 6.067 0.000
La 1.752 6.653 0.000
La 3.148 1.752 0.000
La 6.653 8.048 0.000
La 8.048 3.148 0.000
In 0.000 0.000 0.000
In 4.900 4.900 0.000
Pd 0.000 4.900 1.917
Pd 0.661 2.067 1.917
Pd 2.067 9.139 1.917
Pd 2.834 4.239 1.917
Pd 4.239 6.967 1.917
Pd 4.900 0.000 1.917
Pd 5.561 2.834 1.917
Pd 6.967 5.561 1.917
Pd 7.734 0.661 1.917
Pd 9.139 7.734 1.917
```

As for the energy relative to the elements: -659 meV per atom. The space-group type is P4/mbm (127).

Compound: Li2LaInPd
Source: the Alexandria database
Functional: PBE
Structure: optimized geometry

Structure (extended XYZ):
```
5
Lattice="4.800 0.000 0.000 0.000 4.800 0.000 0.000 0.000 5.184" Properties=species:S:1:pos:R:3 pbc="T T T"
Li 0.000 2.400 0.000
Li 2.400 0.000 0.000
La 0.000 0.000 2.592
In 2.400 2.400 2.592
Pd 2.400 2.400 0.000
```

As for the energy relative to the elements: -244 meV per atom. The space-group type is P4/mmm (123).

Compound: LiLaIn2Pd4
Source: the Alexandria database
Functional: PBE
Structure: optimized geometry

Structure (extended XYZ):
```
8
Lattice="2.290 1.322 8.523 -2.290 1.322 8.523 0.000 -2.644 8.523" Properties=species:S:1:pos:R:3 pbc="T T T"
Li 0.000 0.000 0.000
La 0.000 0.000 12.785
In 0.000 0.000 6.719
In 0.000 0.000 18.851
Pd 0.000 0.000 2.561
Pd 0.000 0.000 9.499
Pd 0.000 0.000 16.071
Pd 0.000 0.000 23.008
```

As for the energy relative to the elements: -651 meV per atom. The space-group type is R-3m (166).